## A
! Na4CdAg, relaxed, DFT PBE; values from VASP
! Space group: P4/mmm (123)
! Size of the total moment: 0.0 μB per formula unit
&SYSTEM
  ibrav = 0, nat = 6, ntyp = 3
/
ATOMIC_SPECIES
Na 22.99 Na.upf
Cd 112.41 Cd.upf
Ag 107.87 Ag.upf
CELL_PARAMETERS angstrom
5.069 0.000 0.000
0.000 5.069 0.000
0.000 0.000 7.614
ATOMIC_POSITIONS crystal
Na 0.000 0.500 0.235
Na 0.000 0.500 0.765
Na 0.500 0.000 0.235
Na 0.500 0.000 0.765
Cd 0.000 0.000 0.500
Ag 0.500 0.500 0.000



## B
! Na4CdAg, relaxed, DFT PBE; values from VASP
! Space group: I4/mcm (140)
! Size of the total moment: 0.0 μB per formula unit
&SYSTEM
  ibrav = 0, nat = 12, ntyp = 3
/
ATOMIC_SPECIES
Na 22.99 Na.upf
Cd 112.41 Cd.upf
Ag 107.87 Ag.upf
CELL_PARAMETERS angstrom
-3.777 3.777 6.124
3.777 -3.777 6.124
3.777 3.777 -6.124
ATOMIC_POSITIONS crystal
Na 0.040 0.540 0.838
Na 0.202 0.040 0.500
Na 0.298 0.798 0.838
Na 0.460 0.298 0.500
Na 0.540 0.702 0.500
Na 0.702 0.202 0.162
Na 0.798 0.960 0.500
Na 0.960 0.460 0.162
Cd 0.250 0.250 0.000
Cd 0.750 0.750 0.000
Ag 0.000 0.000 0.000
Ag 0.500 0.500 0.000



Of them, B has the highest stability.



## A
! Na2Cd6Ag, relaxed, DFT PBE; values from VASP
! Space group: P6/mmm (191)
! Size of the total moment: 0.0 μB per formula unit
&SYSTEM
  ibrav = 0, nat = 9, ntyp = 3
/
ATOMIC_SPECIES
Na 22.99 Na.upf
Cd 112.41 Cd.upf
Ag 107.87 Ag.upf
CELL_PARAMETERS angstrom
8.731 0.000 0.000
-4.365 7.561 0.000
0.000 0.000 3.153
ATOMIC_POSITIONS crystal
Na 0.333 0.667 0.000
Na 0.667 0.333 0.000
Cd 0.000 0.329 0.500
Cd 0.000 0.671 0.500
Cd 0.329 0.000 0.500
Cd 0.329 0.329 0.500
Cd 0.671 0.000 0.500
Cd 0.671 0.671 0.500
Ag 0.000 0.000 0.000



## B
! Na2Cd6Ag, relaxed, DFT PBE; values from VASP
! Space group: C2/m (12)
! Size of the total moment: 0.0 μB per formula unit
&SYSTEM
  ibrav = 0, nat = 9, ntyp = 3
/
ATOMIC_SPECIES
Na 22.99 Na.upf
Cd 112.41 Cd.upf
Ag 107.87 Ag.upf
CELL_PARAMETERS angstrom
5.692 -3.286 0.000
5.692 3.286 0.000
-0.002 0.000 5.953
ATOMIC_POSITIONS crystal
Na 0.167 0.167 0.167
Na 0.833 0.833 0.833
Cd 0.138 0.681 0.320
Cd 0.318 0.318 0.682
Cd 0.319 0.862 0.680
Cd 0.681 0.138 0.320
Cd 0.682 0.682 0.318
Cd 0.862 0.319 0.680
Ag 0.500 0.500 0.000



Of them, B has the highest stability.



## A
! NaCd12Ag6, relaxed, DFT PBE; values from VASP
! Space group: R-3 (148)
! Size of the total moment: 0.0 μB per formula unit
&SYSTEM
  ibrav = 0, nat = 19, ntyp = 3
/
ATOMIC_SPECIES
Na 22.99 Na.upf
Cd 112.41 Cd.upf
Ag 107.87 Ag.upf
CELL_PARAMETERS angstrom
5.142 2.969 4.301
-5.142 2.969 4.301
0.000 -5.938 4.301
ATOMIC_POSITIONS crystal
Na 0.000 0.000 0.000
Cd 0.041 0.377 0.155
Cd 0.155 0.041 0.377
Cd 0.196 0.574 0.477
Cd 0.377 0.155 0.041
Cd 0.426 0.523 0.804
Cd 0.477 0.196 0.574
Cd 0.523 0.804 0.426
Cd 0.574 0.477 0.196
Cd 0.623 0.845 0.959
Cd 0.804 0.426 0.523
Cd 0.845 0.959 0.623
Cd 0.959 0.623 0.845
Ag 0.115 0.266 0.725
Ag 0.266 0.725 0.115
Ag 0.275 0.885 0.734
Ag 0.725 0.115 0.266
Ag 0.734 0.275 0.885
Ag 0.885 0.734 0.275



## B
! NaCd12Ag6, relaxed, DFT PBE; values from VASP
! Space group: R-3m (166)
! Size of the total moment: 0.0 μB per formula unit
&SYSTEM
  ibrav = 0, nat = 19, ntyp = 3
/
ATOMIC_SPECIES
Na 22.99 Na.upf
Cd 112.41 Cd.upf
Ag 107.87 Ag.upf
CELL_PARAMETERS angstrom
6.357 3.670 3.131
-6.357 3.670 3.131
0.000 -7.340 3.131
ATOMIC_POSITIONS crystal
Na 0.000 0.000 0.000
Cd 0.114 0.500 0.886
Cd 0.114 0.886 0.500
Cd 0.124 0.372 0.372
Cd 0.372 0.124 0.372
Cd 0.372 0.372 0.124
Cd 0.500 0.114 0.886
Cd 0.500 0.886 0.114
Cd 0.628 0.628 0.876
Cd 0.628 0.876 0.628
Cd 0.876 0.628 0.628
Cd 0.886 0.114 0.500
Cd 0.886 0.500 0.114
Ag 0.295 0.295 0.699
Ag 0.295 0.699 0.295
Ag 0.301 0.705 0.705
Ag 0.699 0.295 0.295
Ag 0.705 0.301 0.705
Ag 0.705 0.705 0.301



Of them, A has the highest stability.



## A
! NaCd4Ag5, relaxed, DFT PBE; values from VASP
! Space group: Pmmm (47)
! Size of the total moment: 0.0 μB per formula unit
&SYSTEM
  ibrav = 0, nat = 10, ntyp = 3
/
ATOMIC_SPECIES
Na 22.99 Na.upf
Cd 112.41 Cd.upf
Ag 107.87 Ag.upf
CELL_PARAMETERS angstrom
3.095 0.000 0.000
0.000 4.043 0.000
0.000 0.000 15.914
ATOMIC_POSITIONS crystal
Na 0.000 0.000 0.000
Cd 0.000 0.000 0.203
Cd 0.000 0.000 0.402
Cd 0.000 0.000 0.598
Cd 0.000 0.000 0.797
Ag 0.500 0.500 0.112
Ag 0.500 0.500 0.304
Ag 0.500 0.500 0.500
Ag 0.500 0.500 0.696
Ag 0.500 0.500 0.888



## B
! NaCd4Ag5, relaxed, DFT PBE; values from VASP
! Space group: I4 (79)
! Size of the total moment: 0.0 μB per formula unit
&SYSTEM
  ibrav = 0, nat = 10, ntyp = 3
/
ATOMIC_SPECIES
Na 22.99 Na.upf
Cd 112.41 Cd.upf
Ag 107.87 Ag.upf
CELL_PARAMETERS angstrom
-4.650 4.650 2.618
4.650 -4.650 2.618
4.650 4.650 -2.618
ATOMIC_POSITIONS crystal
Na 0.000 0.000 0.000
Cd 0.202 0.619 0.889
Cd 0.313 0.202 0.582
Cd 0.619 0.730 0.418
Cd 0.730 0.313 0.111
Ag 0.045 0.341 0.455
Ag 0.341 0.887 0.296
Ag 0.501 0.501 0.000
Ag 0.590 0.045 0.704
Ag 0.887 0.590 0.545



Of them, A has the highest stability.